No. 1
The following is a DFT calculation (PBE) of a geometry-optimized PrNdSi2Os2 structure.

Geometry as POSCAR:
```
PrNdSi2Os2
1.0
4.208 0.000 0.000
0.000 4.208 0.000
0.000 0.000 7.066
Nd Os Si Pr
1 2 2 1
Direct
0.000 0.000 0.323
0.500 0.000 0.001
0.000 0.500 0.001
0.500 0.500 0.178
0.000 0.000 0.824
0.500 0.500 0.673
```

No. 2
The following is a DFT calculation (PBE) of a geometry-optimized Pr3Nd3Te2Os structure.

Geometry as POSCAR:
```
Pr3Nd3Te2Os
1.0
8.701 0.000 0.000
-4.350 7.535 0.000
0.000 0.000 4.074
Te Nd Pr Os
2 3 3 1
Direct
0.667 0.333 0.500
0.333 0.667 0.500
0.000 0.404 0.000
0.596 0.596 0.000
0.404 0.000 0.000
0.759 0.000 0.500
0.241 0.241 0.500
0.000 0.759 0.500
0.000 0.000 0.000
```

- energy above the lowest structure with this stoichiometry (meV per atom) = 21

No. 3
The following is a DFT calculation (PBE) of a geometry-optimized Pr3Nd3Te2Os structure.

Geometry as POSCAR:
```
Pr3Nd3Te2Os
1.0
8.692 0.000 0.000
-4.346 7.528 0.000
0.000 0.000 4.078
Nd Pr Te Os
3 3 2 1
Direct
0.760 0.000 0.500
0.240 0.240 0.500
0.000 0.760 0.500
0.000 0.404 0.000
0.404 0.000 0.000
0.596 0.596 0.000
0.333 0.667 0.500
0.667 0.333 0.500
0.000 0.000 0.000
```

- energy above the lowest structure with this stoichiometry (meV per atom) = 0

No. 4
The following is a DFT calculation (PBE) of a geometry-optimized PrNd2Tm3Te2Os structure.

Geometry as POSCAR:
```
PrNd2Tm3Te2Os
1.0
4.124 0.000 0.000
0.000 7.274 4.202
0.000 -7.274 4.202
Tm Te Nd Os Pr
3 2 2 1 1
Direct
0.000 0.231 0.231
0.000 0.000 0.769
0.000 0.769 0.000
0.000 0.332 0.667
0.000 0.667 0.332
0.500 0.000 0.397
0.500 0.397 0.000
0.500 0.002 0.002
0.500 0.601 0.601
```

No. 5
The following is a DFT calculation (PBE) of a geometry-optimized Pr2NdTm3Te2Os structure.

Geometry as POSCAR:
```
Pr2NdTm3Te2Os
1.0
-2.548 1.961 -2.594
-0.314 -6.854 -4.873
-5.571 1.000 6.228
Pr Te Nd Tm Os
2 2 1 3 1
Direct
0.000 0.000 0.602
0.000 0.602 0.000
0.500 0.665 0.334
0.500 0.334 0.665
0.000 0.396 0.396
0.500 0.770 0.770
0.500 0.231 0.000
0.500 0.000 0.231
0.000 0.002 0.002
```

No. 6
The following is a DFT calculation (PBE) of a geometry-optimized RbNdOs structure.

Geometry as POSCAR:
```
RbNdOs
1.0
-3.074 -1.069 3.832
-4.732 -1.441 -0.900
-1.387 -4.756 0.859
Rb Os Nd
1 1 1
Direct
0.750 0.750 0.750
0.000 0.000 0.000
0.250 0.250 0.250
```

No. 7
The following is a DFT calculation (PBE) of a geometry-optimized NdScOs structure.

Geometry as POSCAR:
```
NdScOs
1.0
-3.805 -2.591 0.747
-2.686 0.822 3.723
-4.238 1.868 -0.549
Sc Nd Os
1 1 1
Direct
0.750 0.750 0.750
0.000 0.000 0.000
0.250 0.250 0.250
```

- energy above the lowest structure with this stoichiometry (meV per atom) = 338

No. 8
The following is a DFT calculation (PBE) of a geometry-optimized NdScOs structure.

Geometry as POSCAR:
```
NdScOs
1.0
-2.064 -1.571 3.810
-4.579 -0.513 0.096
-1.846 -4.223 0.046
Nd Os Sc
1 1 1
Direct
0.250 0.250 0.250
0.750 0.750 0.750
0.000 0.000 0.000
```

- energy above the lowest structure with this stoichiometry (meV per atom) = 0

Total energy values (in eV/atom) by entry order: -7.764 -5.805 -5.826 -5.794 -5.795 -4.561 -6.574 -6.913.